# 1
The following is a DFT calculation (GGA-PBE) of AcGaCo after structural relaxation.

Output
- Total magnetic moment: 0.0 μB/cell
- Distance to the lowest polymorph of the same formula: 94 meV per atom

```
data_AcGaCo
_chemical_formula_sum 'Ac2 Ga2 Co2'
_cell_length_a 4.2258
_cell_length_b 4.2258
_cell_length_c 9.4373
_cell_angle_alpha 102.89
_cell_angle_beta 102.89
_cell_angle_gamma 60.24
_space_group_name_H-M_alt 'P 1'
_space_group_IT_number 1
loop_
_space_group_symop_operation_xyz
'x,y,z'
loop_
_atom_site_label
_atom_site_type_symbol
_atom_site_fract_x
_atom_site_fract_y
_atom_site_fract_z
_atom_site_occupancy
Ac1 Ac 0.0000 0.0000 0.0000 1
Ac2 Ac 0.1604 0.1604 0.4786 1
Ga1 Ga 0.5779 0.5779 0.7292 1
Ga2 Ga 0.7442 0.7442 0.2337 1
Co1 Co 0.4065 0.4065 0.2222 1
Co2 Co 0.8976 0.8976 0.6853 1
```

# 2
The following is a DFT calculation (GGA-PBE) of AcSiAsO6 after structural relaxation.

Output
- Raw formation energy: -2435 meV/atom
- Total magnetic moment: 0.0 μB/cell

```
data_AcSiAsO6
_chemical_formula_sum 'Ac1 Si1 As1 O6'
_cell_length_a 4.8994
_cell_length_b 4.8994
_cell_length_c 5.4305
_cell_angle_alpha 90.00
_cell_angle_beta 90.00
_cell_angle_gamma 120.00
_space_group_name_H-M_alt 'P 1'
_space_group_IT_number 1
loop_
_space_group_symop_operation_xyz
'x,y,z'
loop_
_atom_site_label
_atom_site_type_symbol
_atom_site_fract_x
_atom_site_fract_y
_atom_site_fract_z
_atom_site_occupancy
Ac1 Ac 0.0000 0.0000 0.0000 1
Si1 Si 0.6667 0.3333 0.5000 1
As1 As 0.3333 0.6667 0.5000 1
O1 O 0.3918 0.0081 0.6914 1
O2 O 0.3918 0.3837 0.3086 1
O3 O 0.6163 0.0081 0.3086 1
O4 O 0.6163 0.6082 0.6914 1
O5 O 0.9919 0.3837 0.6914 1
O6 O 0.9919 0.6082 0.3086 1
```

# 3
The following is a DFT calculation (GGA-PBE) of HfGe2AuCl after structural relaxation.

Output
- Raw formation energy: 801 meV/atom
- Total magnetic moment: 0.0 μB/cell

```
data_HfGe2AuCl
_chemical_formula_sum 'Hf1 Ge2 Au1 Cl1'
_cell_length_a 4.8566
_cell_length_b 4.8566
_cell_length_c 4.7368
_cell_angle_alpha 90.00
_cell_angle_beta 90.00
_cell_angle_gamma 90.00
_space_group_name_H-M_alt 'P 1'
_space_group_IT_number 1
loop_
_space_group_symop_operation_xyz
'x,y,z'
loop_
_atom_site_label
_atom_site_type_symbol
_atom_site_fract_x
_atom_site_fract_y
_atom_site_fract_z
_atom_site_occupancy
Hf1 Hf 0.0000 0.0000 0.0000 1
Ge1 Ge 0.0000 0.5000 0.5000 1
Ge2 Ge 0.5000 0.0000 0.5000 1
Au1 Au 0.5000 0.5000 0.0000 1
Cl1 Cl 0.5000 0.5000 0.5000 1
```

# 4
The following is a DFT calculation (GGA-PBE) of CaPm2DyAs4 after structural relaxation.

Output
- Total magnetic moment: 0.0 μB/cell
- VASP energy: -45.57 eV/cell

```
data_CaPm2DyAs4
_chemical_formula_sum 'Ca1 Pm2 Dy1 As4'
_cell_length_a 7.2722
_cell_length_b 4.2105
_cell_length_c 7.3214
_cell_angle_alpha 90.00
_cell_angle_beta 109.52
_cell_angle_gamma 90.00
_space_group_name_H-M_alt 'P 1'
_space_group_IT_number 1
loop_
_space_group_symop_operation_xyz
'x,y,z'
loop_
_atom_site_label
_atom_site_type_symbol
_atom_site_fract_x
_atom_site_fract_y
_atom_site_fract_z
_atom_site_occupancy
Ca1 Ca 0.0000 0.0000 0.0000 1
Pm1 Pm 0.5000 0.0000 0.5000 1
Pm2 Pm 0.5000 0.5000 0.0000 1
Dy1 Dy 0.0000 0.5000 0.5000 1
As1 As 0.2455 0.0000 0.7443 1
As2 As 0.2495 0.5000 0.2549 1
As3 As 0.7505 0.5000 0.7451 1
As4 As 0.7545 0.0000 0.2557 1
```

# 5
The following is a DFT calculation (GGA-PBE) of Tb2BeGa4Cu3 after structural relaxation.

Output
- Total magnetic moment: 0.0 μB/cell
- VASP energy: -41.50 eV/cell

```
data_Tb2BeGa4Cu3
_chemical_formula_sum 'Tb2 Be1 Ga4 Cu3'
_cell_length_a 4.1135
_cell_length_b 4.1135
_cell_length_c 10.0123
_cell_angle_alpha 90.00
_cell_angle_beta 90.00
_cell_angle_gamma 90.00
_space_group_name_H-M_alt 'P 1'
_space_group_IT_number 1
loop_
_space_group_symop_operation_xyz
'x,y,z'
loop_
_atom_site_label
_atom_site_type_symbol
_atom_site_fract_x
_atom_site_fract_y
_atom_site_fract_z
_atom_site_occupancy
Tb1 Tb 0.0000 0.5000 0.2420 1
Tb2 Tb 0.5000 0.0000 0.7580 1
Be1 Be 0.5000 0.5000 0.0000 1
Ga1 Ga 0.0000 0.0000 0.5000 1
Ga2 Ga 0.0000 0.5000 0.8746 1
Ga3 Ga 0.5000 0.0000 0.1254 1
Ga4 Ga 0.5000 0.5000 0.5000 1
Cu1 Cu 0.0000 0.0000 0.0000 1
Cu2 Cu 0.0000 0.5000 0.6367 1
Cu3 Cu 0.5000 0.0000 0.3633 1
```

# 6
The following is a DFT calculation (GGA-PBE) of MgCdIn4 after structural relaxation.

Output
- Total magnetic moment: 0.0 μB/cell
- Distance to the lowest polymorph of the same formula: 151 meV per atom

```
data_MgCdIn4
_chemical_formula_sum 'Mg1 Cd1 In4'
_cell_length_a 6.1718
_cell_length_b 6.1718
_cell_length_c 6.1718
_cell_angle_alpha 60.00
_cell_angle_beta 60.00
_cell_angle_gamma 60.00
_space_group_name_H-M_alt 'P 1'
_space_group_IT_number 1
loop_
_space_group_symop_operation_xyz
'x,y,z'
loop_
_atom_site_label
_atom_site_type_symbol
_atom_site_fract_x
_atom_site_fract_y
_atom_site_fract_z
_atom_site_occupancy
Mg1 Mg 0.0000 0.0000 0.0000 1
Cd1 Cd 0.7500 0.7500 0.7500 1
In1 In 0.3750 0.3750 0.3750 1
In2 In 0.3750 0.3750 0.8749 1
In3 In 0.3750 0.8749 0.3750 1
In4 In 0.8749 0.3750 0.3750 1
```

# 7
The following is a DFT calculation (GGA-PBE) of CaMg2Tl after structural relaxation.

Output
- Total magnetic moment: 0.0 μB/cell
- Distance to the lowest polymorph of the same formula: 253 meV per atom

```
data_CaMg2Tl
_chemical_formula_sum 'Ca2 Mg4 Tl2'
_cell_length_a 11.8368
_cell_length_b 11.8368
_cell_length_c 11.8368
_cell_angle_alpha 157.86
_cell_angle_beta 157.86
_cell_angle_gamma 31.51
_space_group_name_H-M_alt 'P 1'
_space_group_IT_number 1
loop_
_space_group_symop_operation_xyz
'x,y,z'
loop_
_atom_site_label
_atom_site_type_symbol
_atom_site_fract_x
_atom_site_fract_y
_atom_site_fract_z
_atom_site_occupancy
Ca1 Ca 0.0000 0.0000 0.0000 1
Ca2 Ca 0.7500 0.2500 0.5000 1
Mg1 Mg 0.1403 0.6250 0.0153 1
Mg2 Mg 0.3750 0.3903 0.5153 1
Mg3 Mg 0.6097 0.1250 0.9847 1
Mg4 Mg 0.8750 0.8597 0.4847 1
Tl1 Tl 0.2500 0.7500 0.5000 1
Tl2 Tl 0.5000 0.5000 0.0000 1
```

# 8
The following is a DFT calculation (GGA-PBE) of Np2AgPd9 after structural relaxation.

Output
- Total magnetic moment: 6.0 μB/cell
- VASP energy: -79.25 eV/cell

```
data_Np2AgPd9
_chemical_formula_sum 'Np2 Ag1 Pd9'
_cell_length_a 4.1201
_cell_length_b 4.1201
_cell_length_c 12.1206
_cell_angle_alpha 90.00
_cell_angle_beta 90.00
_cell_angle_gamma 90.00
_space_group_name_H-M_alt 'P 1'
_space_group_IT_number 1
loop_
_space_group_symop_operation_xyz
'x,y,z'
loop_
_atom_site_label
_atom_site_type_symbol
_atom_site_fract_x
_atom_site_fract_y
_atom_site_fract_z
_atom_site_occupancy
Np1 Np 0.0000 0.0000 0.1759 1
Np2 Np 0.0000 0.0000 0.8241 1
Ag1 Ag 0.0000 0.0000 0.5000 1
Pd1 Pd 0.0000 0.5000 0.0000 1
Pd2 Pd 0.0000 0.5000 0.3346 1
Pd3 Pd 0.0000 0.5000 0.6654 1
Pd4 Pd 0.5000 0.0000 0.0000 1
Pd5 Pd 0.5000 0.0000 0.3346 1
Pd6 Pd 0.5000 0.0000 0.6654 1
Pd7 Pd 0.5000 0.5000 0.1662 1
Pd8 Pd 0.5000 0.5000 0.5000 1
Pd9 Pd 0.5000 0.5000 0.8338 1
```

Which formula does entry 5 have? Tb2BeGa4Cu3

total magnetic moment of number 3 (HfGe2AuCl)? 0.0 μB/cell